Record 1
Below is a geometry-optimized PrNd2Au4 structure, with properties calculated at the PBE level.

Lattice parameters (Å, degrees): 7.622 7.622 7.622 138.64 138.64 59.92
Element x y z (fractional)
Pr1 0.000 0.000 0.000
Nd1 0.278 0.278 0.000
Nd2 0.722 0.722 0.000
Au1 0.121 0.621 0.500
Au2 0.379 0.879 0.500
Au3 0.621 0.121 0.500
Au4 0.879 0.379 0.500

## Properties
**DFT formation energy**: -14.7 kcal/mol of atoms
**Density**: 10.565 Mg/m³
**V**: 27.33 Å³ per atom
**Magnetization**: 0.000 μB per formula unit


Record 2
Below is a geometry-optimized LiCeSmTl structure, with properties calculated at the PBE level.

Lattice parameters (Å, degrees): 5.413 5.413 5.413 60.00 60.00 60.00
Element x y z (fractional)
Li1 0.000 0.000 0.000
Ce1 0.250 0.250 0.250
Sm1 0.750 0.750 0.750
Tl1 0.500 0.500 0.500

## Properties
**DFT formation energy**: -1.9 kcal/mol of atoms
**Density**: 7.431 Mg/m³
**V**: 28.03 Å³ per atom
**Magnetization**: 1.336 μB per formula unit


Record 3
Below is a geometry-optimized Li6CuAu12 structure, with properties calculated at the PBE level.

Lattice parameters (Å, degrees): 7.388 7.388 7.388 106.46 106.46 106.46
Element x y z (fractional)
Li1 0.035 0.416 0.297
Li2 0.297 0.035 0.416
Li3 0.416 0.297 0.035
Li4 0.584 0.703 0.965
Li5 0.703 0.965 0.584
Li6 0.965 0.584 0.703
Cu1 0.500 0.500 0.500
Au1 0.018 0.310 0.902
Au2 0.098 0.982 0.690
Au3 0.238 0.371 0.657
Au4 0.310 0.902 0.018
Au5 0.343 0.762 0.629
Au6 0.371 0.657 0.238
Au7 0.629 0.343 0.762
Au8 0.657 0.238 0.371
Au9 0.690 0.098 0.982
Au10 0.762 0.629 0.343
Au11 0.902 0.018 0.310
Au12 0.982 0.690 0.098

## Properties
**DFT formation energy**: -7.7 kcal/mol of atoms
**Density**: 12.034 Mg/m³
**V**: 17.93 Å³ per atom
**Magnetization**: 0.000 μB per formula unit


Record 4
Below is a geometry-optimized Dy2YTh3Bi6 structure, with properties calculated at the PBE level.

Lattice parameters (Å, degrees): 10.146 10.146 9.051 102.69 102.69 25.89
Element x y z (fractional)
Dy1 0.167 0.167 0.333
Dy2 0.833 0.833 0.667
Y1 0.500 0.500 0.000
Th1 0.167 0.167 0.833
Th2 0.500 0.500 0.500
Th3 0.833 0.833 0.167
Bi1 0.002 0.002 0.245
Bi2 0.331 0.331 0.422
Bi3 0.335 0.335 0.911
Bi4 0.665 0.665 0.089
Bi5 0.669 0.669 0.578
Bi6 0.998 0.998 0.755

## Properties
**DFT formation energy**: -16.5 kcal/mol of atoms
**Density**: 9.902 Mg/m³
**V**: 33.04 Å³ per atom
**Magnetization**: 0.000 μB per formula unit


Record 5
Below is a geometry-optimized LaPm6Tm5 structure, with properties calculated at the PBE level.

Lattice parameters (Å, degrees): 6.233 6.233 11.837 95.04 95.04 120.01
Element x y z (fractional)
La1 0.000 0.000 0.000
Pm1 0.084 0.419 0.253
Pm2 0.250 0.250 0.747
Pm3 0.419 0.084 0.253
Pm4 0.581 0.916 0.747
Pm5 0.750 0.750 0.253
Pm6 0.916 0.581 0.747
Tm1 0.167 0.833 0.500
Tm2 0.333 0.667 0.000
Tm3 0.500 0.500 0.500
Tm4 0.667 0.333 0.000
Tm5 0.833 0.167 0.500

## Properties
**DFT formation energy**: 0.5 kcal/mol of atoms
**Density**: 7.851 Mg/m³
**V**: 32.67 Å³ per atom
**Magnetization**: 0.000 μB per formula unit


Record 6
Below is a geometry-optimized CaAc2SmTe4 structure, with properties calculated at the PBE level.

Lattice parameters (Å, degrees): 7.975 4.570 8.006 90.00 109.02 90.00
Element x y z (fractional)
Ca1 0.000 0.000 0.000
Ac1 0.000 0.500 0.500
Ac2 0.500 0.000 0.500
Sm1 0.500 0.500 0.000
Te1 0.243 0.500 0.230
Te2 0.255 0.000 0.770
Te3 0.745 0.000 0.230
Te4 0.757 0.500 0.770

## Properties
**Calculated total energy**: -0.362 Ry/atom
**Density**: 6.952 Mg/m³
**V**: 34.48 Å³ per atom
**Magnetization**: 0.000 μB per formula unit


Record 7
Below is a geometry-optimized Ho2FeSi4 structure, with properties calculated at the PBE level.

Lattice parameters (Å, degrees): 3.975 8.256 8.256 28.14 90.00 90.00
Element x y z (fractional)
Ho1 0.000 0.000 0.000
Ho2 0.500 0.218 0.218
Fe1 0.500 0.861 0.861
Si1 0.000 0.654 0.654
Si2 0.000 0.804 0.804
Si3 0.500 0.419 0.419
Si4 0.500 0.572 0.572

## Properties
**Calculated total energy**: -0.451 Ry/atom
**Density**: 6.471 Mg/m³
**V**: 18.26 Å³ per atom
**Magnetization**: 0.000 μB per formula unit


Record 8
Below is a geometry-optimized Ta3AgH structure, with properties calculated at the PBE level.

Lattice parameters (Å, degrees): 4.942 4.942 4.942 90.00 90.00 90.00
Element x y z (fractional)
Ta1 0.000 0.000 0.500
Ta2 0.000 0.500 0.000
Ta3 0.500 0.000 0.000
Ag1 0.000 0.000 0.000
H1 0.500 0.500 0.500

## Properties
**Calculated total energy**: -0.409 Ry/atom
**Density**: 8.969 Mg/m³
**V**: 24.13 Å³ per atom
**Magnetization**: 1.855 μB per formula unit


Record 9
Below is a geometry-optimized RbLiCl2F8 structure, with properties calculated at the PBE level.

Lattice parameters (Å, degrees): 5.273 5.273 8.428 90.00 90.00 120.00
Element x y z (fractional)
Rb1 0.000 0.000 0.000
Li1 0.000 0.000 0.500
Cl1 0.333 0.667 0.784
Cl2 0.667 0.333 0.216
F1 0.065 0.349 0.644
F2 0.284 0.935 0.644
F3 0.333 0.667 0.013
F4 0.349 0.284 0.356
F5 0.651 0.716 0.644
F6 0.667 0.333 0.987
F7 0.716 0.065 0.356
F8 0.935 0.651 0.356

## Properties
**Calculated total energy**: -0.205 Ry/atom
**Density**: 2.580 Mg/m³
**V**: 16.91 Å³ per atom
**Magnetization**: 4.000 μB per formula unit


Record 10
Below is a geometry-optimized K3CdSe2 structure, with properties calculated at the PBE level.

Lattice parameters (Å, degrees): 9.319 9.319 9.319 131.55 73.77 128.05
Element x y z (fractional)
K1 0.017 0.750 0.267
K2 0.250 0.250 0.000
K3 0.483 0.750 0.733
K4 0.517 0.250 0.267
K5 0.750 0.750 0.000
K6 0.983 0.250 0.733
Cd1 0.000 0.500 0.500
Cd2 0.500 0.000 0.500
Se1 0.128 0.235 0.363
Se2 0.372 0.735 0.106
Se3 0.628 0.265 0.894
Se4 0.872 0.765 0.637

## Properties
**Calculated total energy**: -0.196 Ry/atom
**Density**: 2.766 Mg/m³
**V**: 38.78 Å³ per atom
**Magnetization**: 0.000 μB per formula unit


Record 11
Below is a geometry-optimized Th2Mn2AlFe5 structure, with properties calculated at the PBE level.

Lattice parameters (Å, degrees): 8.944 8.944 3.947 90.00 90.00 90.00
Element x y z (fractional)
Th1 0.188 0.312 0.000
Th2 0.312 0.812 0.000
Th3 0.688 0.188 0.000
Th4 0.812 0.688 0.000
Mn1 0.113 0.613 0.000
Mn2 0.387 0.113 0.000
Mn3 0.613 0.887 0.000
Mn4 0.887 0.387 0.000
Al1 0.000 0.000 0.000
Al2 0.500 0.500 0.000
Fe1 0.000 0.500 0.500
Fe2 0.050 0.805 0.500
Fe3 0.195 0.050 0.500
Fe4 0.305 0.550 0.500
Fe5 0.450 0.305 0.500
Fe6 0.500 0.000 0.500
Fe7 0.550 0.695 0.500
Fe8 0.695 0.450 0.500
Fe9 0.805 0.950 0.500
Fe10 0.950 0.195 0.500

## Properties
**DFT formation energy**: 2.1 kcal/mol of atoms
**Density**: 9.259 Mg/m³
**V**: 15.79 Å³ per atom
**Magnetization**: 14.112 μB per formula unit


Record 12
Below is a geometry-optimized ZrSc2Br structure, with properties calculated at the PBE level.

Lattice parameters (Å, degrees): 5.089 5.089 5.089 60.00 60.00 60.00
Element x y z (fractional)
Zr1 0.000 0.000 0.000
Sc1 0.250 0.250 0.250
Sc2 0.750 0.750 0.750
Br1 0.500 0.500 0.500

## Properties
**Calculated total energy**: -0.400 Ry/atom
**Density**: 4.652 Mg/m³
**V**: 23.29 Å³ per atom
**Magnetization**: 1.855 μB per formula unit